# 1
VASP calculation (GGA-PBE) on MgReAsSe2 after structural relaxation.

Volume   23.96 Å³ per atom
Magnetic moment   0.0 μB per cell
E above lowest polymorph   0.0 kJ per mole of atoms
Formation energy from raw total energies   379 meV/atom

Structure (POSCAR):
```
MgReAsSe2
1.0
5.021 0.000 0.000
0.000 5.021 0.000
0.000 0.000 4.753
Mg Re As Se
1 1 1 2
direct
0.000 0.000 0.000 Mg
0.500 0.500 0.500 Re
0.500 0.500 0.000 As
0.000 0.500 0.500 Se
0.500 0.000 0.500 Se
```


# 2
VASP calculation (GGA-PBE) on Cs2RbS after structural relaxation.

Volume   61.43 Å³ per atom
Magnetic moment   0.0 μB per cell
E above lowest polymorph   9.0 kJ per mole of atoms
Formation energy from raw total energies   -579 meV/atom

Structure (POSCAR):
```
Cs2RbS
1.0
4.362 0.000 0.000
0.000 4.362 0.000
0.000 0.000 12.913
Cs Rb S
2 1 1
direct
0.000 0.000 0.137 Cs
0.000 0.000 0.863 Cs
0.500 0.500 0.500 Rb
0.500 0.500 0.000 S
```


# 3
VASP calculation (GGA-PBE) on Ba3NaAu after structural relaxation.

Energy of formation from the pure elements   -0.299 eV/atom
Volume   54.77 Å³ per atom
Magnetic moment   0.0 μB per cell
E above lowest polymorph   0.7 kJ per mole of atoms

Structure (POSCAR):
```
Ba3NaAu
1.0
6.494 0.000 0.000
0.000 6.494 0.000
0.000 0.000 6.494
Ba Na Au
3 1 1
direct
0.000 0.000 0.500 Ba
0.000 0.500 0.000 Ba
0.500 0.000 0.000 Ba
0.500 0.500 0.500 Na
0.000 0.000 0.000 Au
```